Entry 1:
Material: Zn3Ag2Au2
Method: DFT, GGA-PBE
State: optimized geometry

a b c (Å): 5.028 5.028 6.388
angles (deg): 97.17 97.17 46.52
Atoms (fractional coordinates):
Zn1 0.000 0.000 0.000
Zn2 0.283 0.283 0.847
Zn3 0.717 0.717 0.153
Ag1 0.140 0.140 0.425
Ag2 0.860 0.860 0.575
Au1 0.422 0.422 0.251
Au2 0.578 0.578 0.749

Summary:
- Symmetry: C2/m (12)
- Formation enthalpy at 0 K: -119 meV per atom
- Magnetic moment: 0.0 μB per cell
- Offset from the most stable computed form: 0 meV/atom
- Crystal system: monoclinic

=====

Entry 2:
Material: K2BaTaTe4
Method: DFT, GGA-PBE
State: optimized geometry

a b c (Å): 7.801 7.801 7.801
angles (deg): 110.45 110.45 107.54
Atoms (fractional coordinates):
K1 0.000 0.000 0.000
K2 0.750 0.250 0.500
Ba1 0.250 0.750 0.500
Ta1 0.500 0.500 0.000
Te1 0.166 0.166 0.640
Te2 0.474 0.834 0.001
Te3 0.527 0.526 0.360
Te4 0.834 0.473 0.999

Summary:
- Symmetry: I-4 (82)
- Energy: -4.317 eV/atom
- Magnetic moment: 1.0 μB per cell
- Crystal system: tetragonal